Density functional theory data (PBE) for a geometry-optimized TaRuSN2 structure.

Results
uncorrected formation energy = 0.680 eV/atom
excess energy over the best structure of this formula in the dataset = 0 meV per atom

Unit cell a=3.9585 b=3.9585 c=5.0697 alpha=90.00 beta=90.00 gamma=90.00
With the nearest neighbours (Å) after each atom.
Space group P4/mmm (No. 123)
Inequivalent atoms, fractional coordinates:
Ta1 0.0000 0.0000 0.0000 [1 per cell]  4 N 1.98
Ru1 0.5000 0.5000 0.5000 [1 per cell]  4 S 2.80
S1 0.0000 0.0000 0.5000 [1 per cell]  2 Ta 2.53, 4 Ru 2.80
N1 0.0000 0.5000 0.0000 [2 per cell]  2 Ta 1.98



Density functional theory data (PBE) for a geometry-optimized TaRuS2N structure.

Results
uncorrected formation energy = 0.653 eV/atom
excess energy over the best structure of this formula in the dataset = 154 meV per atom

Unit cell a=4.7534 b=4.7534 c=3.6100 alpha=90.00 beta=90.00 gamma=90.00
With the nearest neighbours (Å) after each atom.
Space group P4/mmm (No. 123)
Inequivalent atoms, fractional coordinates:
Ta1 0.0000 0.0000 0.0000 [1 per cell]  8 S 2.98
Ru1 0.5000 0.5000 0.5000 [1 per cell]  2 N 1.80
S1 0.0000 0.5000 0.5000 [2 per cell]  2 Ru 2.38
N1 0.5000 0.5000 0.0000 [1 per cell]  2 Ru 1.80



Density functional theory data (PBE) for a geometry-optimized TaRuS2N structure.

Results
uncorrected formation energy = 0.500 eV/atom
excess energy over the best structure of this formula in the dataset = 0 meV per atom

Unit cell a=4.8751 b=4.8751 c=3.9001 alpha=90.00 beta=90.00 gamma=90.00
With the nearest neighbours (Å) after each atom.
Space group P4/mmm (No. 123)
Inequivalent atoms, fractional coordinates:
Ta1 0.0000 0.0000 0.0000 [1 per cell]  2 N 1.95
Ru1 0.5000 0.5000 0.5000 [1 per cell]  8 S 3.12, 4 N 3.45
S1 0.0000 0.5000 0.0000 [2 per cell]  2 Ta 2.44
N1 0.0000 0.0000 0.5000 [1 per cell]  2 Ta 1.95



Density functional theory data (PBE) for a geometry-optimized TcRuSN2 structure.

Results
uncorrected formation energy = 1.132 eV/atom
excess energy over the best structure of this formula in the dataset = 118 meV per atom

Unit cell a=3.7671 b=3.7671 c=5.1467 alpha=90.00 beta=90.00 gamma=90.00
With the nearest neighbours (Å) after each atom.
Space group P4/mmm (No. 123)
Inequivalent atoms, fractional coordinates:
Tc1 0.0000 0.0000 0.0000 [1 per cell]  4 S 2.66
Ru1 0.5000 0.5000 0.5000 [1 per cell]  4 N 1.88
S1 0.5000 0.5000 0.0000 [1 per cell]  2 Ru 2.57, 4 Tc 2.66
N1 0.0000 0.5000 0.5000 [2 per cell]  2 Ru 1.88



Density functional theory data (PBE) for a geometry-optimized TcRuSN2 structure.

Results
uncorrected formation energy = 1.014 eV/atom
excess energy over the best structure of this formula in the dataset = 0 meV per atom

Unit cell a=3.7696 b=3.7696 c=5.1633 alpha=90.00 beta=90.00 gamma=90.00
With the nearest neighbours (Å) after each atom.
Space group P4/mmm (No. 123)
Inequivalent atoms, fractional coordinates:
Tc1 0.0000 0.0000 0.0000 [1 per cell]  4 N 1.88
Ru1 0.5000 0.5000 0.5000 [1 per cell]  4 S 2.67
S1 0.0000 0.0000 0.5000 [1 per cell]  2 Tc 2.58, 4 Ru 2.67
N1 0.0000 0.5000 0.0000 [2 per cell]  2 Tc 1.88



Density functional theory data (PBE) for a geometry-optimized Th4RuSN2 structure.

Results
uncorrected formation energy = -1.216 eV/atom

Unit cell a=6.7549 b=3.7629 c=6.8170 alpha=90.00 beta=107.47 gamma=90.00
With the nearest neighbours (Å) after each atom.
Space group P2/m (No. 10)
Inequivalent atoms, fractional coordinates:
Th1 0.2297 0.0000 0.2222 [2 per cell]  3 N 2.61-2.70, 1 Ru 2.79, 2 S 2.90
Th2 0.2619 0.5000 0.7856 [2 per cell]  3 N 2.61-2.62, 1 S 2.87, 2 Ru 2.90
Ru1 0.0000 0.0000 0.5000 [1 per cell]  6 Th 2.79-2.90
S1 0.5000 0.5000 0.5000 [1 per cell]  6 Th 2.87-2.90
N1 0.0000 0.5000 0.0000 [1 per cell]  6 Th 2.61
N2 0.5000 0.0000 0.0000 [1 per cell]  6 Th 2.62-2.70